The following is a DFT calculation (GGA-PBE) of SrLiTl4 after structural relaxation.

Values from the calculation:
ΔE_f: -98 meV per atom
Excess energy over the best structure of this formula in the dataset: 0.142 eV per atom
Theoretical density: 8.0 Mg/m³
Symmetry: F-43m, No. 216
D(E_F): 4.1 states/eV/cell
E_tot: -2.27 eV/atom

Lattice parameters (Å, degrees): 6.454 6.454 6.454 60.00 60.00 60.00
Atoms (fractional coordinates):
1 Sr 0.000 0.000 0.000
2 Li 0.250 0.250 0.250
3 Tl 0.126 0.625 0.625
4 Tl 0.625 0.126 0.625
5 Tl 0.625 0.625 0.126
6 Tl 0.625 0.625 0.625